# 1
The following is a GGA-PBE calculation of an optimized crystal structure of K2SmTaO6, from Alexandria via LeMat-Bulk.

Cell and atoms, written as POSCAR:
```
K2SmTaO6
1.0
0.000 4.329 4.329
4.329 0.000 4.329
4.329 4.329 0.000
K Sm Ta O
2 1 1 6
direct
0.250 0.250 0.250
0.750 0.750 0.750
0.000 0.000 0.000
0.500 0.500 0.500
0.269 0.269 0.731
0.269 0.731 0.269
0.269 0.731 0.731
0.731 0.269 0.269
0.731 0.269 0.731
0.731 0.731 0.269
```

- D(E_F) (states/eV per cell) = 4.52
- theoretical density (Mg/m³) = 5.17
- formation energy without anion corrections (kcal/mol of atoms) = -53.07
- electronic total energy (eV/atom) = -7.15
- total magnetic moment (μB/atom) = 0.203

# 2
The following is a GGA-PBE calculation of an optimized crystal structure of K4SmTa3O12, from Alexandria via LeMat-Bulk.

Cell and atoms, written as POSCAR:
```
K4SmTa3O12
1.0
-4.178 4.178 4.178
4.178 -4.178 4.178
4.178 4.178 -4.178
K Sm Ta O
4 1 3 12
direct
0.000 0.000 0.500
0.000 0.500 0.000
0.500 0.000 0.000
0.500 0.500 0.500
0.000 0.000 0.000
0.000 0.500 0.500
0.500 0.000 0.500
0.500 0.500 0.000
0.000 0.271 0.271
0.000 0.729 0.729
0.250 0.500 0.750
0.250 0.750 0.500
0.271 0.000 0.271
0.271 0.271 0.000
0.500 0.250 0.750
0.500 0.750 0.250
0.729 0.000 0.729
0.729 0.729 0.000
0.750 0.250 0.500
0.750 0.500 0.250
```

- D(E_F) (states/eV per cell) = 12.44
- theoretical density (Mg/m³) = 5.93
- formation energy without anion corrections (kcal/mol of atoms) = -56.46
- electronic total energy (eV/atom) = -7.66
- total magnetic moment (μB/atom) = 0.102

# 3
The following is a GGA-PBE calculation of an optimized crystal structure of K3Tb2SmO6, from Alexandria via LeMat-Bulk.

Cell and atoms, written as POSCAR:
```
K3Tb2SmO6
1.0
3.060 -5.301 0.000
3.060 5.301 0.000
-2.041 0.000 6.277
K Tb Sm O
3 2 1 6
direct
0.000 0.000 0.000
0.333 0.667 0.000
0.667 0.333 0.000
0.167 0.833 0.500
0.833 0.167 0.500
0.500 0.500 0.500
0.099 0.438 0.313
0.224 0.224 0.687
0.438 0.099 0.313
0.562 0.901 0.687
0.776 0.776 0.313
0.901 0.562 0.687
```

- D(E_F) (states/eV per cell) = 0.00
- theoretical density (Mg/m³) = 5.56
- formation energy without anion corrections (kcal/mol of atoms) = -62.72
- electronic total energy (eV/atom) = -6.64
- total magnetic moment (μB/atom) = 0.000